# GGA+U Mn2ZnO4, relaxed
data_Mn2ZnO4
_symmetry_space_group_name_H-M 'P 1'
_symmetry_Int_Tables_number 1
_symmetry_space_group_name_Hall 'P 1'
_cell_length_a 6.240
_cell_length_b 6.240
_cell_length_c 6.240
_cell_angle_alpha 124.33
_cell_angle_beta 124.33
_cell_angle_gamma 82.65
loop_
_atom_site_label
_atom_site_type_symbol
_atom_site_fract_x
_atom_site_fract_y
_atom_site_fract_z
_atom_site_occupancy
Mn1 Mn 0.000 0.000 0.000 1
Mn2 Mn 0.000 0.000 0.500 1
Mn3 Mn 0.000 0.500 0.000 1
Mn4 Mn 0.500 0.000 0.500 1
Zn1 Zn 0.375 0.625 0.750 1
Zn2 Zn 0.625 0.375 0.250 1
O1 O 0.221 0.244 0.977 1
O2 O 0.232 0.756 0.477 1
O3 O 0.244 0.221 0.477 1
O4 O 0.244 0.768 0.023 1
O5 O 0.756 0.232 0.977 1
O6 O 0.756 0.779 0.523 1
O7 O 0.768 0.244 0.523 1
O8 O 0.779 0.756 0.023 1
# - final energy (eV per atom) = -6.719
# - energy above the lowest structure with this stoichiometry (meV per atom) = 0.0